{
  "formula": "InP2Pb2",
  "functional": "PBE",
  "state": "optimized geometry",
  "relative_energy_mev_per_atom": 24.9,
  "e_tot_ev_per_atom": -3.99,
  "ef_ev_per_atom": 0.2055,
  "spacegroup": "P4/mbm",
  "cell": [[7.866, 0.000, 0.000], [0.000, 7.866, 0.000], [0.000, 0.000, 4.083]],
  "species": ["P", "P", "P", "P", "Pb", "Pb", "Pb", "Pb", "In", "In"],
  "frac_coords": [[0.823, 0.677, 0.000], [0.323, 0.823, 0.000], [0.677, 0.177, 0.000], [0.177, 0.323, 0.000], [0.854, 0.354, 0.500], [0.146, 0.646, 0.500], [0.646, 0.854, 0.500], [0.354, 0.146, 0.500], [0.500, 0.500, 0.000], [0.000, 0.000, 0.000]]
}



{
  "formula": "InP2Pb",
  "functional": "PBE",
  "state": "optimized geometry",
  "relative_energy_mev_per_atom": 18.9,
  "e_tot_ev_per_atom": -4.22,
  "ef_ev_per_atom": 0.0955,
  "spacegroup": "R3m",
  "cell": [[-6.115, 6.631, -2.748], [-7.243, 3.962, -4.556], [-8.247, 4.379, -1.319]],
  "species": ["Pb", "In", "P", "P"],
  "frac_coords": [[0.509, 0.509, 0.509], [0.737, 0.737, 0.737], [0.272, 0.272, 0.272], [0.982, 0.982, 0.982]]
}



{
  "formula": "InP2Pb",
  "functional": "PBE",
  "state": "optimized geometry",
  "relative_energy_mev_per_atom": 360.9,
  "e_tot_ev_per_atom": -3.88,
  "ef_ev_per_atom": 0.4374,
  "spacegroup": "I-4m2",
  "cell": [[-3.396, 2.660, -4.691], [-6.348, 0.284, -0.480], [4.877, 0.993, 3.980]],
  "species": ["P", "P", "In", "Pb"],
  "frac_coords": [[0.000, 0.000, 0.000], [0.250, 0.750, 0.500], [0.750, 0.250, 0.500], [0.500, 0.500, 0.000]]
}



{
  "formula": "In2PPb",
  "functional": "PBE",
  "state": "optimized geometry",
  "relative_energy_mev_per_atom": 83.6,
  "e_tot_ev_per_atom": -3.56,
  "ef_ev_per_atom": 0.0874,
  "spacegroup": "Pm",
  "cell": [[-2.640, -2.876, 0.300], [2.126, -1.655, 2.852], [-2.277, 2.742, 6.231]],
  "species": ["In", "In", "P", "Pb"],
  "frac_coords": [[0.500, 0.280, 0.315], [0.000, 0.927, 0.017], [0.000, 0.730, 0.412], [0.500, 0.563, 0.756]]
}



{
  "formula": "InP2Pb",
  "functional": "PBE",
  "state": "optimized geometry",
  "relative_energy_mev_per_atom": 221.8,
  "e_tot_ev_per_atom": -4.02,
  "ef_ev_per_atom": 0.2983,
  "spacegroup": "P4/mmm",
  "cell": [[3.908, 0.015, 0.000], [-0.016, 3.908, 0.000], [0.000, 0.000, 6.208]],
  "species": ["P", "P", "Pb", "In"],
  "frac_coords": [[0.000, 0.000, 0.571], [0.000, 0.000, 0.929], [0.500, 0.500, 0.250], [0.500, 0.500, 0.750]]
}



{
  "formula": "InPPb2",
  "functional": "PBE",
  "state": "optimized geometry",
  "relative_energy_mev_per_atom": 178.3,
  "e_tot_ev_per_atom": -3.67,
  "ef_ev_per_atom": 0.2238,
  "spacegroup": "Cmmm",
  "cell": [[4.833, 0.970, -0.584], [-1.090, 4.807, -0.584], [0.393, 0.606, 4.269]],
  "species": ["P", "In", "Pb", "Pb"],
  "frac_coords": [[0.000, 0.500, 0.500], [0.500, 0.000, 0.500], [0.000, 0.000, 0.000], [0.500, 0.500, 0.000]]
}



{
  "formula": "In2PPb",
  "functional": "PBE",
  "state": "optimized geometry",
  "relative_energy_mev_per_atom": 310.8,
  "e_tot_ev_per_atom": -3.33,
  "ef_ev_per_atom": 0.3145,
  "spacegroup": "Fm-3m",
  "cell": [[0.000, 3.689, 3.689], [3.689, 0.000, 3.689], [3.689, 3.689, 0.000]],
  "species": ["P", "In", "In", "Pb"],
  "frac_coords": [[0.000, 0.000, 0.000], [0.250, 0.250, 0.250], [0.750, 0.750, 0.750], [0.500, 0.500, 0.500]]
}



{
  "formula": "In2PPb",
  "functional": "PBE",
  "state": "optimized geometry",
  "relative_energy_mev_per_atom": 235.0,
  "e_tot_ev_per_atom": -3.41,
  "ef_ev_per_atom": 0.2387,
  "spacegroup": "I-4m2",
  "cell": [[5.771, -0.001, 0.000], [2.056, 5.393, 0.000], [-3.914, -2.696, 3.275]],
  "species": ["P", "Pb", "In", "In"],
  "frac_coords": [[0.500, 0.500, 0.000], [0.750, 0.250, 0.500], [0.250, 0.750, 0.500], [0.000, 0.000, 0.000]]
}



{
  "formula": "InPPb2",
  "functional": "PBE",
  "state": "optimized geometry",
  "relative_energy_mev_per_atom": 172.3,
  "e_tot_ev_per_atom": -3.67,
  "ef_ev_per_atom": 0.2177,
  "spacegroup": "I-42d",
  "cell": [[-2.817, -1.524, 5.833], [-4.835, -3.275, -3.190], [-0.382, -7.744, 1.588]],
  "species": ["Pb", "Pb", "Pb", "Pb", "In", "In", "P", "P"],
  "frac_coords": [[0.154, 0.625, 0.250], [0.375, 0.404, 0.750], [0.596, 0.125, 0.250], [0.875, 0.846, 0.750], [0.750, 0.250, 0.500], [0.000, 0.000, 0.000], [0.250, 0.750, 0.500], [0.500, 0.500, 0.000]]
}



{
  "formula": "In2PPb",
  "functional": "PBE",
  "state": "optimized geometry",
  "relative_energy_mev_per_atom": 51.2,
  "e_tot_ev_per_atom": -3.59,
  "ef_ev_per_atom": 0.0549,
  "spacegroup": "R3m",
  "cell": [[-3.923, -6.481, 3.334], [-2.188, -7.982, 0.099], [-0.099, -7.528, 3.440]],
  "species": ["In", "In", "Pb", "P"],
  "frac_coords": [[0.234, 0.234, 0.234], [0.995, 0.995, 0.995], [0.765, 0.765, 0.765], [0.506, 0.506, 0.506]]
}



{
  "formula": "InP2Pb",
  "functional": "PBE",
  "state": "optimized geometry",
  "relative_energy_mev_per_atom": 39.0,
  "e_tot_ev_per_atom": -4.20,
  "ef_ev_per_atom": 0.1156,
  "spacegroup": "P2/m",
  "cell": [[4.010, 0.000, 0.000], [0.000, 4.980, -0.014], [0.000, 1.363, 5.000]],
  "species": ["P", "P", "In", "Pb"],
  "frac_coords": [[0.000, 0.438, 0.589], [0.000, 0.062, 0.911], [0.500, 0.750, 0.750], [0.500, 0.250, 0.250]]
}



{
  "formula": "In2PPb",
  "functional": "PBE",
  "state": "optimized geometry",
  "relative_energy_mev_per_atom": 274.6,
  "e_tot_ev_per_atom": -3.37,
  "ef_ev_per_atom": 0.2784,
  "spacegroup": "F-43m",
  "cell": [[5.252, 0.000, 0.000], [2.626, 4.548, 0.000], [2.626, 1.516, 4.288]],
  "species": ["In", "In", "Pb", "P"],
  "frac_coords": [[0.750, 0.750, 0.750], [0.000, 0.000, 0.000], [0.250, 0.250, 0.250], [0.500, 0.500, 0.500]]
}



{
  "formula": "InP2Pb",
  "functional": "PBE",
  "state": "optimized geometry",
  "relative_energy_mev_per_atom": 92.4,
  "e_tot_ev_per_atom": -4.15,
  "ef_ev_per_atom": 0.1689,
  "spacegroup": "Imm2",
  "cell": [[5.946, -0.053, 0.017], [2.476, 5.407, -0.017], [-3.409, -3.938, 2.869]],
  "species": ["Pb", "In", "P", "P"],
  "frac_coords": [[0.515, 0.515, 0.000], [0.224, 0.724, 0.500], [0.805, 0.305, 0.500], [0.956, 0.956, 0.000]]
}



{
  "formula": "In3PPb",
  "functional": "PBE",
  "state": "optimized geometry",
  "relative_energy_mev_per_atom": 0.0,
  "e_tot_ev_per_atom": -3.20,
  "ef_ev_per_atom": 0.2690,
  "spacegroup": "Pm-3m",
  "cell": [[5.250, 0.000, 0.000], [0.000, 5.250, 0.000], [0.000, 0.000, 5.250]],
  "species": ["In", "In", "In", "Pb", "P"],
  "frac_coords": [[0.000, 0.000, 0.500], [0.000, 0.500, 0.000], [0.500, 0.000, 0.000], [0.500, 0.500, 0.500], [0.000, 0.000, 0.000]]
}



{
  "formula": "InPPb",
  "functional": "PBE",
  "state": "optimized geometry",
  "relative_energy_mev_per_atom": 77.2,
  "e_tot_ev_per_atom": -3.86,
  "ef_ev_per_atom": 0.0934,
  "spacegroup": "P2_13",
  "cell": [[6.897, 0.000, 0.000], [0.000, 6.897, 0.000], [0.000, 0.000, 6.897]],
  "species": ["P", "P", "P", "P", "In", "In", "In", "In", "Pb", "Pb", "Pb", "Pb"],
  "frac_coords": [[0.409, 0.091, 0.909], [0.591, 0.591, 0.591], [0.091, 0.909, 0.409], [0.909, 0.409, 0.091], [0.556, 0.444, 0.944], [0.944, 0.556, 0.444], [0.444, 0.944, 0.556], [0.056, 0.056, 0.056], [0.639, 0.861, 0.139], [0.361, 0.361, 0.361], [0.139, 0.639, 0.861], [0.861, 0.139, 0.639]]
}



{
  "formula": "InPPb2",
  "functional": "PBE",
  "state": "optimized geometry",
  "relative_energy_mev_per_atom": 119.3,
  "e_tot_ev_per_atom": -3.73,
  "ef_ev_per_atom": 0.1648,
  "spacegroup": "P4mm",
  "cell": [[3.678, 0.000, 0.000], [0.000, 3.678, 0.000], [0.000, 0.000, 7.719]],
  "species": ["In", "P", "Pb", "Pb"],
  "frac_coords": [[0.000, 0.000, 0.551], [0.500, 0.500, 0.717], [0.500, 0.500, 0.275], [0.000, 0.000, 0.957]]
}



{
  "formula": "In2PPb",
  "functional": "PBE",
  "state": "optimized geometry",
  "relative_energy_mev_per_atom": 204.2,
  "e_tot_ev_per_atom": -3.44,
  "ef_ev_per_atom": 0.2080,
  "spacegroup": "Cmm2",
  "cell": [[-0.475, -3.121, -1.379], [3.048, 1.143, -1.128], [4.133, -3.845, 7.276]],
  "species": ["Pb", "In", "In", "P"],
  "frac_coords": [[0.500, 0.500, 0.710], [0.000, 0.000, 0.016], [0.500, 0.500, 0.289], [0.000, 0.000, 0.485]]
}



{
  "formula": "In2PPb",
  "functional": "PBE",
  "state": "optimized geometry",
  "relative_energy_mev_per_atom": 96.0,
  "e_tot_ev_per_atom": -3.55,
  "ef_ev_per_atom": 0.0997,
  "spacegroup": "I-42d",
  "cell": [[-6.005, -2.433, -0.888], [1.761, -2.193, -5.904], [-0.354, -7.584, -0.911]],
  "species": ["In", "In", "In", "In", "Pb", "Pb", "P", "P"],
  "frac_coords": [[0.875, 0.829, 0.750], [0.579, 0.125, 0.250], [0.171, 0.625, 0.250], [0.375, 0.421, 0.750], [0.750, 0.250, 0.500], [0.000, 0.000, 0.000], [0.500, 0.500, 0.000], [0.250, 0.750, 0.500]]
}



{
  "formula": "InPPb",
  "functional": "PBE",
  "state": "optimized geometry",
  "relative_energy_mev_per_atom": 0.0,
  "e_tot_ev_per_atom": -3.94,
  "ef_ev_per_atom": 0.0162,
  "spacegroup": "P3m1",
  "cell": [[4.058, 0.000, 0.000], [-2.029, 3.514, 0.000], [0.000, 0.000, 5.570]],
  "species": ["In", "P", "Pb"],
  "frac_coords": [[0.000, 0.000, 0.063], [0.333, 0.667, 0.313], [0.667, 0.333, 0.624]]
}



{
  "formula": "InPPb4",
  "functional": "PBE",
  "state": "optimized geometry",
  "e_tot_ev_per_atom": -3.36,
  "ef_ev_per_atom": 0.4661,
  "spacegroup": "F-43m",
  "cell": [[0.000, 4.539, 4.539], [4.539, 0.000, 4.539], [4.539, 4.539, 0.000]],
  "species": ["In", "Pb", "Pb", "Pb", "Pb", "P"],
  "frac_coords": [[0.750, 0.750, 0.750], [0.375, 0.375, 0.875], [0.875, 0.375, 0.375], [0.375, 0.875, 0.375], [0.375, 0.375, 0.375], [0.000, 0.000, 0.000]]
}



{
  "formula": "InPPb",
  "functional": "PBE",
  "state": "optimized geometry",
  "relative_energy_mev_per_atom": 159.6,
  "e_tot_ev_per_atom": -3.78,
  "ef_ev_per_atom": 0.1758,
  "spacegroup": "I4mm",
  "cell": [[6.370, 0.008, -0.009], [5.354, 3.450, 0.008], [1.015, 0.282, 3.430]],
  "species": ["P", "Pb", "In"],
  "frac_coords": [[0.336, 0.336, 0.664], [0.694, 0.694, 0.306], [0.970, 0.970, 0.030]]
}



{
  "formula": "InP2Pb",
  "functional": "PBE",
  "state": "optimized geometry",
  "relative_energy_mev_per_atom": 56.4,
  "e_tot_ev_per_atom": -4.18,
  "ef_ev_per_atom": 0.1330,
  "spacegroup": "P4/mmm",
  "cell": [[4.015, 0.000, 0.000], [0.000, 4.013, 0.000], [0.000, 0.000, 5.629]],
  "species": ["P", "P", "Pb", "In"],
  "frac_coords": [[0.000, 0.000, 0.875], [0.500, 0.500, 0.375], [0.000, 0.000, 0.375], [0.500, 0.500, 0.875]]
}



{
  "formula": "InP2Pb",
  "functional": "PBE",
  "state": "optimized geometry",
  "relative_energy_mev_per_atom": 140.7,
  "e_tot_ev_per_atom": -4.10,
  "ef_ev_per_atom": 0.2173,
  "spacegroup": "Pm",
  "cell": [[4.761, 0.000, 0.000], [0.000, 4.428, 0.000], [0.000, 0.818, 4.478]],
  "species": ["P", "P", "Pb", "In"],
  "frac_coords": [[0.500, 0.192, 0.191], [0.000, 0.052, 0.051], [0.000, 0.467, 0.462], [0.500, 0.788, 0.796]]
}



{
  "formula": "Rb2InPPb",
  "functional": "PBE",
  "state": "optimized geometry",
  "e_tot_ev_per_atom": -2.20,
  "ef_ev_per_atom": 0.5590,
  "spacegroup": "P4/mmm",
  "cell": [[-6.745, 2.090, 0.542], [-0.875, -1.446, -5.313], [-1.851, -6.513, 2.077]],
  "species": ["Pb", "Rb", "Rb", "In", "P"],
  "frac_coords": [[0.000, 0.500, 0.000], [0.000, 0.000, 0.500], [0.500, 0.000, 0.000], [0.000, 0.000, 0.000], [0.500, 0.500, 0.500]]
}



{
  "formula": "InPRhPb2",
  "functional": "PBE",
  "state": "optimized geometry",
  "e_tot_ev_per_atom": -3.47,
  "ef_ev_per_atom": 1.1146,
  "spacegroup": "P4/mmm",
  "cell": [[-3.332, 4.574, -0.063], [-3.700, -2.719, -1.712], [-1.633, -1.117, 5.302]],
  "species": ["Pb", "Pb", "Rh", "P", "In"],
  "frac_coords": [[0.500, 0.000, 0.000], [0.000, 0.000, 0.500], [0.000, 0.500, 0.000], [0.500, 0.500, 0.500], [0.000, 0.000, 0.000]]
}



{
  "formula": "Sr2InPPb",
  "functional": "PBE",
  "state": "optimized geometry",
  "e_tot_ev_per_atom": -3.69,
  "ef_ev_per_atom": -0.6472,
  "spacegroup": "P2_1/m",
  "cell": [[4.637, 0.000, 0.000], [0.000, 7.932, 0.342], [0.000, -3.008, 9.017]],
  "species": ["Pb", "Pb", "In", "In", "Sr", "Sr", "Sr", "Sr", "P", "P"],
  "frac_coords": [[0.750, 0.291, 0.696], [0.250, 0.709, 0.304], [0.250, 0.516, 0.723], [0.750, 0.484, 0.277], [0.750, 0.775, 0.021], [0.250, 0.174, 0.387], [0.750, 0.826, 0.613], [0.250, 0.225, 0.979], [0.250, 0.843, 0.826], [0.750, 0.157, 0.174]]
}



{
  "formula": "InTc2PPb",
  "functional": "PBE",
  "state": "optimized geometry",
  "e_tot_ev_per_atom": -5.86,
  "ef_ev_per_atom": 0.6587,
  "spacegroup": "P4/mmm",
  "cell": [[-3.760, -0.344, 2.534], [-2.716, -1.135, -4.184], [0.844, -4.421, 0.652]],
  "species": ["Pb", "Tc", "Tc", "In", "P"],
  "frac_coords": [[0.500, 0.500, 0.500], [0.000, 0.000, 0.500], [0.500, 0.000, 0.000], [0.000, 0.500, 0.000], [0.000, 0.000, 0.000]]
}



{
  "formula": "InTePPb2",
  "functional": "PBE",
  "state": "optimized geometry",
  "e_form_raw_mev_per_atom": 290.3,
  "e_tot_ev_per_atom": -3.45,
  "spacegroup": "P4/mmm",
  "cell": [[-0.230, -4.320, -3.294], [-0.321, -3.324, 4.380], [-5.423, 0.375, -0.113]],
  "species": ["Pb", "Pb", "Te", "In", "P"],
  "frac_coords": [[0.000, 0.000, 0.500], [0.500, 0.000, 0.000], [0.000, 0.500, 0.000], [0.500, 0.500, 0.500], [0.000, 0.000, 0.000]]
}



{
  "formula": "Y2InPPb",
  "functional": "PBE",
  "state": "optimized geometry",
  "e_tot_ev_per_atom": -4.45,
  "ef_ev_per_atom": 0.5065,
  "spacegroup": "P4/mmm",
  "cell": [[-5.572, 1.304, 0.701], [-0.037, -2.603, 4.548], [1.480, 4.830, 2.777]],
  "species": ["Y", "Y", "Pb", "In", "P"],
  "frac_coords": [[0.500, 0.000, 0.000], [0.000, 0.000, 0.500], [0.000, 0.000, 0.000], [0.500, 0.500, 0.500], [0.000, 0.500, 0.000]]
}